1.
VASP calculation (PBE-GGA) on an optimized crystal structure of PuNb2Ru.

Cell lengths 3.1457, 3.1457, 7.5205 Å; angles 90.00, 90.00, 90.00 degrees
Last column: magnetic moment on the atom in μB.
Fractional coordinates of all 4 atoms:
Ru1 0.5000 0.5000 0.0000  -0.07
Nb1 0.0000 0.0000 0.2180  -0.09
Nb2 0.0000 0.0000 0.7820  -0.09
Pu1 0.5000 0.5000 0.5000  4.86



2.
VASP calculation (PBE-GGA) on an optimized crystal structure of Tm3ZnPt.

Cell lengths 4.8974, 4.8876, 9.9246 Å; angles 90.00, 75.72, 90.00 degrees
Last column: magnetic moment on the atom in μB.
Fractional coordinates of all 10 atoms:
Tm1 0.3924 0.2500 0.8635  0.07
Tm2 0.7542 0.2500 0.1399  0.08
Tm3 0.5739 0.2500 0.5005  0.00
Tm4 0.0744 0.7500 0.4995  0.00
Tm5 0.8941 0.7500 0.8601  0.08
Tm6 0.2559 0.7500 0.1365  0.07
Pt1 0.9861 0.2500 0.6761  0.00
Pt2 0.6622 0.7500 0.3239  0.00
Zn1 0.4815 0.7500 0.6854  0.00
Zn2 0.1669 0.2500 0.3146  0.00



3.
VASP calculation (PBE-GGA) on an optimized crystal structure of TbPmCdCo.

Cell lengths 3.4796, 3.4796, 7.7713 Å; angles 90.00, 90.00, 90.00 degrees
Last column: magnetic moment on the atom in μB.
Fractional coordinates of all 4 atoms:
Tb1 0.5000 0.5000 0.3587  -0.13
Co1 0.0000 0.0000 0.5622  0.96
Pm1 0.5000 0.5000 0.7840  -0.09
Cd1 0.0000 0.0000 0.0797  0.00



4.
VASP calculation (PBE-GGA) on an optimized crystal structure of Pm3Ho2Tm6.

Cell lengths 4.7097, 4.7097, 16.8405 Å; angles 98.04, 98.04, 90.00 degrees
Fractional coordinates of all 11 atoms:
Tm1 0.1209 0.6209 0.2418
Tm2 0.3791 0.8791 0.7582
Tm3 0.8791 0.3791 0.7582
Tm4 0.3076 0.3076 0.6151
Tm5 0.6209 0.1209 0.2418
Tm6 0.6924 0.6924 0.3849
Ho1 0.5464 0.5464 0.0928
Ho2 0.4536 0.4536 0.9072
Pm1 0.2038 0.2038 0.4075
Pm2 0.7962 0.7962 0.5925
Pm3 0.0000 0.0000 0.0000



no.,ΔE_f (eV per formula unit),mass density (Mg/m³)
1,0.2,11.8
2,-3.3,11.1
3,-0.8,8.4
4,3.1,8.1